No. 1
Compound: Li2AlVO4
Source: Alexandria
Functional: GGA-PBEsol
Structure: optimized geometry

Lattice parameters (Å, degrees): 5.0298 5.7646 7.4675 100.75 108.29 90.01
Last column: nearest neighbours and their distance in Å.
Atoms (fractional coordinates):
Li 0.0006 0.4039 0.1680  6 O 2.03-2.24
Li 0.0017 0.2444 0.4988  6 O 2.06-2.23
Li 0.0018 0.9153 0.1667  6 O 2.06-2.14
Li 0.9982 0.0847 0.8333  6 O 2.06-2.14
Li 0.9983 0.7556 0.5012  6 O 2.06-2.23
Li 0.9994 0.5961 0.8320  6 O 2.03-2.24
Al 0.4994 0.8440 0.8325  6 O 1.90-1.94
Al 0.5000 0.0000 0.5000  6 O 1.90-1.94
Al 0.5006 0.1560 0.1675  6 O 1.90-1.94
V 0.4993 0.3466 0.8363  6 O 1.99-2.03
V 0.5000 0.5000 0.5000  6 O 1.99-2.03
V 0.5007 0.6534 0.1637  6 O 1.99-2.03
O 0.2691 0.3612 0.0112  1 Al 1.94, 2 V 1.99, 2 Li 2.03-2.06
O 0.2705 0.5647 0.6785  1 Al 1.93, 2 V 2.00-2.01, 2 Li 2.03-2.06
O 0.2736 0.7182 0.3422  1 Al 1.94, 2 V 1.99-2.00, 2 Li 2.08
O 0.2815 0.1964 0.3368  2 Al 1.91, 1 V 2.03, 3 Li 2.08-2.11
O 0.2829 0.0437 0.6700  2 Al 1.90-1.92, 1 V 2.03, 2 Li 2.10-2.12
O 0.2830 0.8809 0.0027  2 Al 1.90-1.91, 1 V 2.03, 2 Li 2.11
O 0.7170 0.1191 0.9973  2 Al 1.90-1.91, 1 V 2.03, 2 Li 2.11
O 0.7171 0.9563 0.3300  2 Al 1.90-1.92, 1 V 2.03, 2 Li 2.10-2.12
O 0.7185 0.8036 0.6632  2 Al 1.91, 1 V 2.03, 3 Li 2.08-2.11
O 0.7264 0.2818 0.6578  1 Al 1.94, 2 V 1.99-2.00, 2 Li 2.08
O 0.7295 0.4353 0.3215  1 Al 1.93, 2 V 2.00-2.01, 2 Li 2.03-2.06
O 0.7309 0.6388 0.9888  1 Al 1.94, 2 V 1.99, 2 Li 2.03-2.06

## Properties
Its formation energy (no corrections) is -2.4966 eV per atom. As for the symmetry: No. 2. Its calculated density is 3.85 g/cm³. For the total energy, the calculation gives -7.33 eV/atom. The density of states at the Fermi level comes out at 2.5 states/eV/f.u. The value obtained for the energy above the most stable polymorph in this dataset is 0 meV/atom. The calculation puts the magnetic moment at 2.00 μB per formula unit.



No. 2
Compound: Ba2GeIBr
Source: Alexandria
Functional: GGA-PBEsol
Structure: optimized geometry

Lattice parameters (Å, degrees): 6.2041 6.2041 5.0576 90.00 90.00 90.00
Last column: nearest neighbours and their distance in Å.
Atoms (fractional coordinates):
Ba 0.0000 0.5000 0.0000  2 Br 3.10
Ba 0.5000 0.0000 0.0000  2 Br 3.10
Ge 0.0000 0.0000 0.5000  2 Br 2.53
I 0.5000 0.5000 0.5000  8 Ba 4.00, 4 Ge 4.39
Br 0.0000 0.0000 0.0000  2 Ge 2.53

## Properties
Its formation energy (no corrections) is -0.6795 eV per atom. As for the symmetry: No. 123. Its calculated density is 4.73 g/cm³. For the total energy, the calculation gives -3.25 eV/atom. The density of states at the Fermi level comes out at 3.4 states/eV/f.u. The calculation puts the magnetic moment at 0.00 μB per formula unit.



No. 3
Compound: TaCd2Ni
Source: Alexandria
Functional: GGA-PBEsol
Structure: optimized geometry

Lattice parameters (Å, degrees): 3.8927 3.8927 4.4019 90.00 90.00 90.00
Last column: nearest neighbours and their distance in Å.
Atoms (fractional coordinates):
Ta 0.0000 0.0000 0.0000  4 Ni 2.75, 8 Cd 2.94
Cd 0.0000 0.5000 0.5000  4 Cd 2.75, 4 Ta 2.94, 4 Ni 2.94
Cd 0.5000 0.0000 0.5000  4 Cd 2.75, 4 Ta 2.94, 4 Ni 2.94
Ni 0.5000 0.5000 0.0000  4 Ta 2.75, 8 Cd 2.94

## Properties
The energy of formation is 0.34 eV per atom. As for the symmetry: No. 123. Its calculated density is 11.56 g/cm³. For the total energy, the calculation gives -4.94 eV/atom. The density of states at the Fermi level comes out at 4.4 states/eV/f.u. The calculation puts the magnetic moment at 0.00 μB per formula unit.



No. 4
Compound: Na6ZnSn2
Source: Alexandria
Functional: GGA-PBEsol
Structure: optimized geometry

Lattice parameters (Å, degrees): 5.6633 5.6633 9.1861 96.87 96.87 57.26
Last column: nearest neighbours and their distance in Å.
Atoms (fractional coordinates):
Na 0.0272 0.0272 0.2157  3 Sn 3.22-3.25, 5 Na 3.24-3.54
Na 0.1983 0.1983 0.5603  3 Zn 3.12-3.36, 5 Na 3.16-3.38, 3 Sn 3.31-3.44
Na 0.3271 0.3271 0.9032  3 Sn 3.14-3.44, 3 Na 3.23-3.33
Na 0.6729 0.6729 0.0968  3 Sn 3.14-3.44, 3 Na 3.23-3.33
Na 0.8017 0.8017 0.4397  3 Zn 3.12-3.36, 5 Na 3.16-3.38, 3 Sn 3.31-3.44
Na 0.9728 0.9728 0.7843  3 Sn 3.22-3.25, 5 Na 3.24-3.54
Zn 0.5000 0.5000 0.5000  2 Sn 2.56
Sn 0.3540 0.3540 0.2480  1 Zn 2.56
Sn 0.6460 0.6460 0.7520  1 Zn 2.56

## Properties
The energy of formation is -0.16 eV per atom. As for the symmetry: No. 12. Its calculated density is 2.98 g/cm³. For the total energy, the calculation gives -2.21 eV/atom. The density of states at the Fermi level comes out at 0.8 states/eV/f.u. The calculation puts the magnetic moment at 0.00 μB per formula unit.



No. 5
Compound: Ta2Rh3
Source: Alexandria
Functional: GGA-PBEsol
Structure: optimized geometry

Lattice parameters (Å, degrees): 7.0053 5.2937 8.0585 59.04 40.39 80.57
Last column: nearest neighbours and their distance in Å.
Atoms (fractional coordinates):
Ta 0.2638 0.7362 0.3442  7 Rh 2.60-2.80
Ta 0.5942 0.9058 0.5138  7 Rh 2.60-2.80
Ta 0.7362 0.2638 0.6558  7 Rh 2.60-2.80
Ta 0.9058 0.5942 0.9862  7 Rh 2.60-2.80
Rh 0.1188 0.8063 0.0846  5 Ta 2.60-2.80, 5 Rh 2.72-2.88
Rh 0.1654 0.2597 0.1312  5 Ta 2.60-2.80, 5 Rh 2.72-2.88
Rh 0.2597 0.1654 0.4437  5 Ta 2.60-2.80, 5 Rh 2.72-2.88
Rh 0.4336 0.4336 0.5664  4 Ta 2.61-2.62, 4 Rh 2.73-2.88
Rh 0.6836 0.6836 0.8164  4 Ta 2.61-2.62, 4 Rh 2.73-2.88
Rh 0.8063 0.1188 0.9903  5 Ta 2.60-2.80, 5 Rh 2.72-2.88

## Properties
The energy of formation is -0.48 eV per atom. As for the symmetry: No. 43. Its calculated density is 14.70 g/cm³. For the total energy, the calculation gives -10.38 eV/atom. The density of states at the Fermi level comes out at 3.7 states/eV/f.u. The value obtained for the energy above the most stable polymorph in this dataset is 0 meV/atom. The calculation puts the magnetic moment at 0.00 μB per formula unit.



No. 6
Compound: MnCoIr2
Source: Alexandria
Functional: GGA-PBEsol
Structure: optimized geometry

Lattice parameters (Å, degrees): 4.4330 4.4330 4.4330 130.28 130.28 72.96
Last column: nearest neighbours and their distance in Å.
Atoms (fractional coordinates):
Mn 0.0000 0.0000 0.0000  8 Ir 2.58, 4 Co 2.64
Co 0.5000 0.5000 0.0000  8 Ir 2.58, 4 Mn 2.64
Ir 0.2500 0.7500 0.5000  4 Mn 2.58, 4 Co 2.58, 4 Ir 2.64
Ir 0.7500 0.2500 0.5000  4 Mn 2.58, 4 Co 2.58, 4 Ir 2.64

## Properties
The energy of formation is -0.08 eV per atom. As for the symmetry: No. 139. Its calculated density is 16.71 g/cm³. For the total energy, the calculation gives -9.37 eV/atom. The density of states at the Fermi level comes out at 4.8 states/eV/f.u. The calculation puts the magnetic moment at 0.59 μB per formula unit.



No. 7
Compound: CrGe2Pd
Source: Alexandria
Functional: GGA-PBEsol
Structure: optimized geometry

Lattice parameters (Å, degrees): 4.2727 4.2727 4.2727 60.00 60.00 60.00
Last column: nearest neighbours and their distance in Å.
Atoms (fractional coordinates):
Cr 0.0000 0.0000 0.0000  8 Ge 2.62
Ge 0.2500 0.2500 0.2500  4 Pd 2.62, 4 Cr 2.62
Ge 0.7500 0.7500 0.7500  4 Cr 2.62, 4 Pd 2.62
Pd 0.5000 0.5000 0.5000  8 Ge 2.62

## Properties
The energy of formation is 0.01 eV per atom. As for the symmetry: No. 225. Its calculated density is 9.14 g/cm³. For the total energy, the calculation gives -6.51 eV/atom. The density of states at the Fermi level comes out at 1.2 states/eV/f.u. The calculation puts the magnetic moment at 0.00 μB per formula unit.



No. 8
Compound: Ta3HgI
Source: Alexandria
Functional: GGA-PBEsol
Structure: optimized geometry

Lattice parameters (Å, degrees): 4.9336 4.9336 4.9336 90.00 90.00 90.00
Last column: nearest neighbours and their distance in Å.
Atoms (fractional coordinates):
Ta 0.0000 0.0000 0.5000  2 I 2.47
Ta 0.0000 0.5000 0.0000  2 I 2.47
Ta 0.5000 0.0000 0.0000  2 I 2.47
Hg 0.5000 0.5000 0.5000  12 Ta 3.49
I 0.0000 0.0000 0.0000  6 Ta 2.47

## Properties
Its formation energy (no corrections) is 2.0973 eV per atom. As for the symmetry: No. 221. Its calculated density is 12.03 g/cm³. For the total energy, the calculation gives -5.90 eV/atom. The density of states at the Fermi level comes out at 8.5 states/eV/f.u. The calculation puts the magnetic moment at 0.00 μB per formula unit.



No. 9
Compound: Zn4Ir
Source: Alexandria
Functional: GGA-PBEsol
Structure: optimized geometry

Lattice parameters (Å, degrees): 4.6592 4.6592 4.6592 99.20 99.20 132.85
Last column: nearest neighbours and their distance in Å.
Atoms (fractional coordinates):
Zn 0.1044 0.2950 0.3994  9 Zn 2.62-2.78, 3 Ir 2.65-2.69
Zn 0.2950 0.8956 0.1906  9 Zn 2.62-2.78, 3 Ir 2.65-2.69
Zn 0.7050 0.1044 0.8094  9 Zn 2.62-2.78, 3 Ir 2.65-2.69
Zn 0.8956 0.7050 0.6006  9 Zn 2.62-2.78, 3 Ir 2.65-2.69
Ir 0.5000 0.5000 0.0000  12 Zn 2.65-2.69

## Properties
The energy of formation is -0.18 eV per atom. As for the symmetry: No. 87. Its calculated density is 11.09 g/cm³. For the total energy, the calculation gives -3.41 eV/atom. The density of states at the Fermi level comes out at 1.7 states/eV/f.u. The calculation puts the magnetic moment at 0.00 μB per formula unit.



No. 10
Compound: BaCaPb
Source: Alexandria
Functional: GGA-PBEsol
Structure: optimized geometry

Lattice parameters (Å, degrees): 4.0139 4.0139 8.6016 90.00 90.00 120.00
Last column: nearest neighbours and their distance in Å.
Atoms (fractional coordinates):
Ba 0.0000 0.0000 0.0000  3 Pb 3.51
Ca 0.3333 0.6667 0.5740  3 Pb 3.26
Pb 0.6667 0.3333 0.3070  3 Ca 3.26, 3 Ba 3.51

## Properties
The energy of formation is -0.22 eV per atom. As for the symmetry: No. 156. Its calculated density is 5.32 g/cm³. For the total energy, the calculation gives -2.98 eV/atom. The density of states at the Fermi level comes out at 2.1 states/eV/f.u. The calculation puts the magnetic moment at 0.00 μB per formula unit.



No. 11
Compound: CaHgAu2
Source: Alexandria
Functional: GGA-PBEsol
Structure: optimized geometry

Lattice parameters (Å, degrees): 5.2048 5.2048 5.2048 130.13 130.13 73.20
Last column: nearest neighbours and their distance in Å.
Atoms (fractional coordinates):
Ca 0.0000 0.0000 0.0000  4 Hg 3.03, 8 Au 3.03-3.10
Hg 0.7500 0.2500 0.5000  4 Ca 3.03, 8 Au 3.03-3.10
Au 0.2500 0.7500 0.5000  4 Ca 3.03, 4 Au 3.03, 4 Hg 3.10
Au 0.5000 0.5000 0.0000  4 Hg 3.03, 4 Au 3.03, 4 Ca 3.10

## Properties
The energy of formation is -0.49 eV per atom. As for the symmetry: No. 119. Its calculated density is 13.09 g/cm³. For the total energy, the calculation gives -3.13 eV/atom. The density of states at the Fermi level comes out at 1.4 states/eV/f.u. The calculation puts the magnetic moment at 0.00 μB per formula unit.



No. 12
Compound: TlTc2As
Source: Alexandria
Functional: GGA-PBEsol
Structure: optimized geometry

Lattice parameters (Å, degrees): 3.0663 3.0663 6.7686 90.00 90.00 90.00
Last column: nearest neighbours and their distance in Å.
Atoms (fractional coordinates):
Tl 0.0000 0.0000 0.0000  8 Tc 2.95, 4 Tl 3.07
Tc 0.5000 0.5000 0.2959  4 As 2.57, 1 Tc 2.76
Tc 0.5000 0.5000 0.7041  4 As 2.57, 1 Tc 2.76
As 0.0000 0.0000 0.5000  8 Tc 2.57

## Properties
The energy of formation is 0.30 eV per atom. As for the symmetry: No. 123. Its calculated density is 12.40 g/cm³. For the total energy, the calculation gives -7.27 eV/atom. The density of states at the Fermi level comes out at 4.0 states/eV/f.u. The value obtained for the energy above the most stable polymorph in this dataset is 0 meV/atom. The calculation puts the magnetic moment at 0.00 μB per formula unit.